<1>
Here is a crystal of Mg2MoCl relaxed with PBEsol from Alexandria. Energies are from meta-GGA SCAN.

a = 3.0225 Å, b = 4.9714 Å, c = 9.9638 Å
α = 90.00°, β = 90.00°, γ = 90.00°
Space group Imm2 (No. 44)
Symmetry-distinct sites (fractional):
Mg 0.0000 0.0000 0.0000
Mg 0.0000 0.5000 0.2010
Mo 0.0000 0.0000 0.4533
Cl 0.0000 0.5000 0.7699

total magnetic moment: 0.0 μB/cell
crystal system: orthorhombic

<2>
Here is a crystal of Mg2MoCl relaxed with PBEsol from Alexandria. Energies are from meta-GGA SCAN.

a = 3.9531 Å, b = 3.9531 Å, c = 9.7456 Å
α = 90.00°, β = 90.00°, γ = 90.00°
Space group I-4m2 (No. 119)
Symmetry-distinct sites (fractional):
Mg 0.0000 0.0000 0.0000
Mg 0.0000 0.5000 0.2500
Mo 0.0000 0.0000 0.5000
Cl 0.0000 0.5000 0.7500

total magnetic moment: 6.2 μB/cell
crystal system: tetragonal

Which of them is most stable? Easy: <1>.

<1>
Here is a crystal of MgNiCl2 relaxed with PBEsol from Alexandria. Energies are from meta-GGA SCAN.

a = 6.2486 Å, b = 6.2486 Å, c = 6.2486 Å
α = 90.00°, β = 90.00°, γ = 90.00°
Space group Fm-3m (No. 225)
Symmetry-distinct sites (fractional):
Mg 0.0000 0.0000 0.0000
Ni 0.0000 0.0000 0.5000
Cl 0.2500 0.2500 0.2500

total magnetic moment: 0.3 μB/cell
crystal system: cubic

<2>
Here is a crystal of MgNiCl2 relaxed with PBEsol from Alexandria. Energies are from meta-GGA SCAN.

a = 3.4547 Å, b = 3.6018 Å, c = 6.0943 Å
α = 90.00°, β = 100.91°, γ = 90.00°
Space group Pm (No. 6)
Symmetry-distinct sites (fractional):
Mg 0.0000 0.0000 0.0000
Ni 0.5438 0.5000 0.1354
Cl 0.3154 0.5000 0.7830
Cl 0.6704 0.0000 0.3538

total magnetic moment: 0.0 μB/cell
crystal system: monoclinic

Which of them is most stable? Easy: <2>.